[1]
The following is a SCAN calculation of a crystal of SrScGe2Os relaxed with PBEsol, from Alexandria.

Unit cell a=4.774 b=4.774 c=5.560 alpha=90.00 beta=90.00 gamma=90.00
Positions (direct):
Sr1 0.000 0.000 0.000
Sc1 0.500 0.500 0.000
Ge1 0.000 0.500 0.500
Ge2 0.500 0.000 0.500
Os1 0.000 0.000 0.500

Summary:
Raw total energy, eV/f.u.: -144.6
Formation enthalpy at 0 K, eV per formula unit: 2.0
Fermi-level density of states, states/eV per cell: 3.157
Total magnetic moment, μB/f.u.: 0.00

---

[2]
The following is a SCAN calculation of a crystal of ScTc2GeOs relaxed with PBEsol, from Alexandria.

Unit cell a=4.361 b=4.361 c=4.655 alpha=90.00 beta=90.00 gamma=90.00
Positions (direct):
Sc1 0.000 0.000 0.000
Tc1 0.000 0.500 0.000
Tc2 0.500 0.000 0.000
Ge1 0.000 0.000 0.500
Os1 0.500 0.500 0.500

Summary:
Raw total energy, eV/f.u.: -164.0
Formation enthalpy at 0 K, eV per formula unit: 11.3
Fermi-level density of states, states/eV per cell: 4.655
Total magnetic moment, μB/f.u.: 0.00

---

[3]
The following is a SCAN calculation of a crystal of GeOs3Se relaxed with PBEsol, from Alexandria.

Unit cell a=4.500 b=4.500 c=4.500 alpha=90.00 beta=90.00 gamma=90.00
Positions (direct):
Ge1 0.000 0.000 0.000
Os1 0.000 0.000 0.500
Os2 0.000 0.500 0.000
Os3 0.500 0.000 0.000
Se1 0.500 0.500 0.500

Summary:
Raw total energy, eV/f.u.: -244.3
Formation energy from raw total energies, eV per atom: 2.10
Fermi-level density of states, states/eV per cell: 4.505
Total magnetic moment, μB/f.u.: 0.00

---

[4]
The following is a SCAN calculation of a crystal of SiGeOs3 relaxed with PBEsol, from Alexandria.

Unit cell a=4.367 b=4.367 c=4.367 alpha=90.00 beta=90.00 gamma=90.00
Positions (direct):
Si1 0.000 0.000 0.000
Ge1 0.500 0.500 0.500
Os1 0.000 0.000 0.500
Os2 0.000 0.500 0.000
Os3 0.500 0.000 0.000

Summary:
Raw total energy, eV/f.u.: -237.7
Formation energy from raw total energies, eV per atom: 1.40
Fermi-level density of states, states/eV per cell: 4.038
Total magnetic moment, μB/f.u.: 1.62

---

[5]
The following is a SCAN calculation of a crystal of TaSnGeOs2 relaxed with PBEsol, from Alexandria.

Unit cell a=4.740 b=4.740 c=4.804 alpha=90.00 beta=90.00 gamma=90.00
Positions (direct):
Ta1 0.000 0.000 0.000
Sn1 0.500 0.500 0.500
Ge1 0.500 0.500 0.000
Os1 0.000 0.500 0.500
Os2 0.500 0.000 0.500

Summary:
Raw total energy, eV/f.u.: -252.9
Formation enthalpy at 0 K, eV per formula unit: 12.4
Fermi-level density of states, states/eV per cell: 3.711
Total magnetic moment, μB/f.u.: 0.66

---

[6]
The following is a SCAN calculation of a crystal of Sr2GeOs relaxed with PBEsol, from Alexandria.

Unit cell a=7.278 b=7.278 c=7.278 alpha=90.00 beta=90.00 gamma=90.00
Positions (direct):
Sr1 0.250 0.250 0.250
Sr2 0.250 0.250 0.750
Sr3 0.250 0.750 0.250
Sr4 0.250 0.750 0.750
Sr5 0.750 0.250 0.250
Sr6 0.750 0.250 0.750
Sr7 0.750 0.750 0.250
Sr8 0.750 0.750 0.750
Ge1 0.000 0.000 0.000
Ge2 0.000 0.500 0.500
Ge3 0.500 0.000 0.500
Ge4 0.500 0.500 0.000
Os1 0.000 0.000 0.500
Os2 0.000 0.500 0.000
Os3 0.500 0.000 0.000
Os4 0.500 0.500 0.500

Summary:
Raw total energy, eV/f.u.: -133.8
Formation enthalpy at 0 K, eV per formula unit: 1.7
Fermi-level density of states, states/eV per cell: 9.391
Total magnetic moment, μB/f.u.: 0.00

---

[7]
The following is a SCAN calculation of a crystal of GeTeOs2 relaxed with PBEsol, from Alexandria.

Unit cell a=6.334 b=6.334 c=6.334 alpha=90.00 beta=90.00 gamma=90.00
Positions (direct):
Ge1 0.000 0.000 0.000
Ge2 0.000 0.500 0.500
Ge3 0.500 0.000 0.500
Ge4 0.500 0.500 0.000
Te1 0.000 0.000 0.500
Te2 0.000 0.500 0.000
Te3 0.500 0.000 0.000
Te4 0.500 0.500 0.500
Os1 0.250 0.250 0.250
Os2 0.250 0.250 0.750
Os3 0.250 0.750 0.250
Os4 0.250 0.750 0.750
Os5 0.750 0.250 0.250
Os6 0.750 0.250 0.750
Os7 0.750 0.750 0.250
Os8 0.750 0.750 0.750

Summary:
Raw total energy, eV/f.u.: -197.3
Formation energy from raw total energies, eV per atom: 0.69
Fermi-level density of states, states/eV per cell: 10.052
Total magnetic moment, μB/f.u.: 0.00

---

[8]
The following is a SCAN calculation of a crystal of Ge3TeOs relaxed with PBEsol, from Alexandria.

Unit cell a=5.118 b=5.118 c=5.118 alpha=90.00 beta=90.00 gamma=90.00
Positions (direct):
Ge1 0.000 0.000 0.500
Ge2 0.000 0.500 0.000
Ge3 0.500 0.000 0.000
Te1 0.000 0.000 0.000
Os1 0.500 0.500 0.500

Summary:
Raw total energy, eV/f.u.: -155.6
Formation energy from raw total energies, eV per atom: 2.16
Fermi-level density of states, states/eV per cell: 3.687
Total magnetic moment, μB/f.u.: 2.29

---

[9]
The following is a SCAN calculation of a crystal of TiGe2TeOs relaxed with PBEsol, from Alexandria.

Unit cell a=4.664 b=4.664 c=5.040 alpha=90.00 beta=90.00 gamma=90.00
Positions (direct):
Ti1 0.000 0.000 0.000
Ge1 0.000 0.500 0.500
Ge2 0.500 0.000 0.500
Te1 0.500 0.500 0.000
Os1 0.000 0.000 0.500

Summary:
Raw total energy, eV/f.u.: -162.9
Formation energy from raw total energies, eV per atom: 0.10
Fermi-level density of states, states/eV per cell: 1.809
Total magnetic moment, μB/f.u.: 1.23

---

[10]
The following is a SCAN calculation of a crystal of TiGeOs3 relaxed with PBEsol, from Alexandria.

Unit cell a=4.426 b=4.426 c=4.426 alpha=90.00 beta=90.00 gamma=90.00
Positions (direct):
Ti1 0.000 0.000 0.000
Ge1 0.500 0.500 0.500
Os1 0.000 0.500 0.500
Os2 0.500 0.000 0.500
Os3 0.500 0.500 0.000

Summary:
Raw total energy, eV/f.u.: -244.8
Formation enthalpy at 0 K, eV per formula unit: 5.9
Fermi-level density of states, states/eV per cell: 1.546
Total magnetic moment, μB/f.u.: 0.00

---

[11]
The following is a SCAN calculation of a crystal of Tm4Ge6Os7 relaxed with PBEsol, from Alexandria.

Unit cell a=7.124 b=7.124 c=7.124 alpha=109.47 beta=109.47 gamma=109.47
Positions (direct):
Tm1 0.000 0.000 0.500
Tm2 0.000 0.500 0.000
Tm3 0.500 0.000 0.000
Tm4 0.500 0.500 0.500
Ge1 0.000 0.309 0.309
Ge2 0.000 0.691 0.691
Ge3 0.309 0.000 0.309
Ge4 0.309 0.309 0.000
Ge5 0.691 0.000 0.691
Ge6 0.691 0.691 0.000
Os1 0.000 0.000 0.000
Os2 0.250 0.500 0.750
Os3 0.250 0.750 0.500
Os4 0.500 0.250 0.750
Os5 0.500 0.750 0.250
Os6 0.750 0.250 0.500
Os7 0.750 0.500 0.250

Summary:
Raw total energy, eV/f.u.: -834.9
Formation enthalpy at 0 K, eV per formula unit: -9.9
Fermi-level density of states, states/eV per cell: 16.252
Total magnetic moment, μB/f.u.: 0.00

---

[12]
The following is a SCAN calculation of a crystal of Tm3Ge13Os4 relaxed with PBEsol, from Alexandria.

Unit cell a=8.925 b=8.925 c=8.925 alpha=90.00 beta=90.00 gamma=90.00
Positions (direct):
Tm1 0.000 0.250 0.500
Tm2 0.000 0.750 0.500
Tm3 0.250 0.500 0.000
Tm4 0.500 0.000 0.250
Tm5 0.500 0.000 0.750
Tm6 0.750 0.500 0.000
Ge1 0.000 0.000 0.000
Ge2 0.000 0.300 0.144
Ge3 0.000 0.300 0.856
Ge4 0.000 0.700 0.144
Ge5 0.000 0.700 0.856
Ge6 0.144 0.000 0.300
Ge7 0.144 0.000 0.700
Ge8 0.200 0.500 0.356
Ge9 0.200 0.500 0.644
Ge10 0.300 0.144 0.000
Ge11 0.300 0.856 0.000
Ge12 0.356 0.200 0.500
Ge13 0.356 0.800 0.500
Ge14 0.500 0.356 0.200
Ge15 0.500 0.356 0.800
Ge16 0.500 0.500 0.500
Ge17 0.500 0.644 0.200
Ge18 0.500 0.644 0.800
Ge19 0.644 0.200 0.500
Ge20 0.644 0.800 0.500
Ge21 0.700 0.144 0.000
Ge22 0.700 0.856 0.000
Ge23 0.800 0.500 0.356
Ge24 0.800 0.500 0.644
Ge25 0.856 0.000 0.300
Ge26 0.856 0.000 0.700
Os1 0.250 0.250 0.250
Os2 0.250 0.250 0.750
Os3 0.250 0.750 0.250
Os4 0.250 0.750 0.750
Os5 0.750 0.250 0.250
Os6 0.750 0.250 0.750
Os7 0.750 0.750 0.250
Os8 0.750 0.750 0.750

Summary:
Raw total energy, eV/f.u.: -699.3
Formation enthalpy at 0 K, eV per formula unit: -8.2
Fermi-level density of states, states/eV per cell: 13.503
Total magnetic moment, μB/f.u.: 0.00